1.
# AuSe2SBr

AuSe2SBr after structural relaxation (PBE, the Alexandria database).

Calculated values
* crystal system: tetragonal
* total DFT energy (no corrections): -2.32 eV/atom
* energy above the lowest structure with this stoichiometry: 0.1712 eV/atom
* density of states at the Fermi level: 6.1 states/eV per cell
* formation energy without anion corrections: 0.887 eV/atom

Unit cell a=5.133 b=5.133 c=5.063 alpha=90.00 beta=90.00 gamma=90.00
Space group P4/mmm (No. 123)
Asymmetric unit:
Au1 0.000 0.000 0.000 [1 per cell]
Se1 0.000 0.500 0.000 [2 per cell]
S1 0.500 0.500 0.500 [1 per cell]
Br1 0.000 0.000 0.500 [1 per cell]

2.
# AuSe2SBr

AuSe2SBr after structural relaxation (PBE, the Alexandria database).

Calculated values
* crystal system: tetragonal
* total DFT energy (no corrections): -2.49 eV/atom
* energy above the lowest structure with this stoichiometry: 0.0000 eV/atom
* density of states at the Fermi level: 4.7 states/eV per cell
* formation energy without anion corrections: 0.716 eV/atom

Unit cell a=4.963 b=4.963 c=4.863 alpha=90.00 beta=90.00 gamma=90.00
Space group P4/mmm (No. 123)
Asymmetric unit:
Au1 0.000 0.000 0.000 [1 per cell]
Se1 0.000 0.500 0.500 [2 per cell]
S1 0.500 0.500 0.500 [1 per cell]
Br1 0.500 0.500 0.000 [1 per cell]

3.
# AuSeSBr2

AuSeSBr2 after structural relaxation (PBE, the Alexandria database).

Calculated values
* crystal system: tetragonal
* total DFT energy (no corrections): -2.11 eV/atom
* energy above the lowest structure with this stoichiometry: 0.0944 eV/atom
* density of states at the Fermi level: 5.0 states/eV per cell
* formation energy without anion corrections: 0.733 eV/atom

Unit cell a=5.203 b=5.203 c=5.250 alpha=90.00 beta=90.00 gamma=90.00
Space group P4/mmm (No. 123)
Asymmetric unit:
Au1 0.000 0.000 0.000 [1 per cell]
Se1 0.000 0.000 0.500 [1 per cell]
S1 0.500 0.500 0.500 [1 per cell]
Br1 0.000 0.500 0.000 [2 per cell]

Among the records above, which one has the highest density of states at the Fermi level? number 1